Be2TlSi2 | meta-GGA SCAN | single point on PBEsol structure

Cell: 3.980 3.980 9.851 Å, 90.00 90.00 90.00°
Space group I4/mmm (No. 139)
Unique sites:
1 Be 0.000 0.500 0.250 [4 per cell]
2 Tl 0.000 0.000 0.000 [2 per cell]
3 Si 0.000 0.000 0.377 [4 per cell]

As for the density of states at the Fermi level: 0.2801 states/eV/atom. The raw formation energy is 0.410 eV per atom.